# 1
VASP calculation (GGA-PBE) on a geometry-optimized NdTePb2O6 structure.

Results
Uncorrected formation energy: -15.86 eV per formula unit

```
data_NdTePb2O6
_cell_length_a 6.1183
_cell_length_b 6.1183
_cell_length_c 15.1183
_cell_angle_alpha 90.00
_cell_angle_beta 90.00
_cell_angle_gamma 120.00
_space_group_name_H-M_alt 'R 3'
_space_group_IT_number 146
_space_group_name_Hall 'R 3'
loop_
_atom_site_label
_atom_site_fract_x
_atom_site_fract_y
_atom_site_fract_z
_atom_site_occupancy
Nd1 0.0000 0.0000 0.0000 1
Te1 0.0000 0.0000 0.4919 1
Pb1 0.0000 0.0000 0.2696 1
Pb2 0.0000 0.0000 0.7741 1
O1 0.0915 0.3380 0.5609 1
O2 0.1153 0.7380 0.0726 1
```

# 2
VASP calculation (GGA-PBE) on a geometry-optimized NdTe2PbO8 structure.

Results
Uncorrected formation energy: -16.14 eV per formula unit

```
data_NdTe2PbO8
_cell_length_a 6.1385
_cell_length_b 6.1385
_cell_length_c 7.3790
_cell_angle_alpha 90.00
_cell_angle_beta 90.00
_cell_angle_gamma 120.00
_space_group_name_H-M_alt 'P -3 m 1'
_space_group_IT_number 164
_space_group_name_Hall '-P 3 2"'
loop_
_atom_site_label
_atom_site_fract_x
_atom_site_fract_y
_atom_site_fract_z
_atom_site_occupancy
Nd1 0.0000 0.0000 0.0000 1
Te1 0.3333 0.6667 0.2940 1
Pb1 0.0000 0.0000 0.5000 1
O1 0.1618 0.3235 0.2187 1
O2 0.3333 0.6667 0.5420 1
```

# 3
VASP calculation (GGA-PBE) on a geometry-optimized NdTePbO6 structure.

Results
Uncorrected formation energy: -14.27 eV per formula unit

```
data_NdTePbO6
_cell_length_a 5.8422
_cell_length_b 5.8422
_cell_length_c 9.3594
_cell_angle_alpha 90.00
_cell_angle_beta 90.00
_cell_angle_gamma 120.00
_space_group_name_H-M_alt 'P -3 1 c'
_space_group_IT_number 163
_space_group_name_Hall '-P 3 2c'
loop_
_atom_site_label
_atom_site_fract_x
_atom_site_fract_y
_atom_site_fract_z
_atom_site_occupancy
Nd1 0.3333 0.6667 0.2500 1
Te1 0.3333 0.6667 0.7500 1
Pb1 0.0000 0.0000 0.0000 1
O1 0.0528 0.3870 0.6340 1
```

# 4
VASP calculation (GGA-PBE) on a geometry-optimized Nd2TiPbO6 structure.

Results
Uncorrected formation energy: -26.32 eV per formula unit

```
data_Nd2TiPbO6
_cell_length_a 5.5125
_cell_length_b 5.5125
_cell_length_c 5.5444
_cell_angle_alpha 90.00
_cell_angle_beta 90.00
_cell_angle_gamma 90.00
_space_group_name_H-M_alt 'P 4 m m'
_space_group_IT_number 99
loop_
_space_group_symop_operation_xyz
'x,y,z'
'-y,x,z'
'-x,-y,z'
'y,-x,z'
'-x,y,z'
'y,x,z'
'x,-y,z'
'-y,-x,z'
loop_
_atom_site_label
_atom_site_fract_x
_atom_site_fract_y
_atom_site_fract_z
_atom_site_occupancy
Nd1 0.0000 0.5000 0.0000 1
Ti1 0.0000 0.0000 0.6315 1
Pb1 0.5000 0.5000 0.5520 1
O1 0.0000 0.0000 0.3021 1
O2 0.2289 0.2289 0.7680 1
O3 0.5000 0.5000 0.1302 1
```

# 5
VASP calculation (GGA-PBE) on a geometry-optimized NdTlPb2O4 structure.

Results
Uncorrected formation energy: -12.75 eV per formula unit

```
data_NdTlPb2O4
_cell_length_a 4.0718
_cell_length_b 4.0718
_cell_length_c 9.5929
_cell_angle_alpha 90.00
_cell_angle_beta 90.00
_cell_angle_gamma 90.00
_space_group_name_H-M_alt 'P 4/m m m'
_space_group_IT_number 123
_space_group_name_Hall '-P 4 2'
loop_
_atom_site_label
_atom_site_fract_x
_atom_site_fract_y
_atom_site_fract_z
_atom_site_occupancy
Nd1 0.0000 0.0000 0.0000 1
Tl1 0.0000 0.0000 0.5000 1
Pb1 0.5000 0.5000 0.2588 1
O1 0.0000 0.5000 0.1507 1
```

# 6
VASP calculation (GGA-PBE) on a geometry-optimized Nd2Tm4Pb3O2 structure.

Results
Uncorrected formation energy: -15.49 eV per formula unit

```
data_Nd2Tm4Pb3O2
_cell_length_a 4.6310
_cell_length_b 4.6310
_cell_length_c 25.6500
_cell_angle_alpha 90.00
_cell_angle_beta 90.00
_cell_angle_gamma 90.00
_space_group_name_H-M_alt 'I 4/m m m'
_space_group_IT_number 139
_space_group_name_Hall '-I 4 2'
loop_
_atom_site_label
_atom_site_fract_x
_atom_site_fract_y
_atom_site_fract_z
_atom_site_occupancy
Nd1 0.0000 0.0000 0.1951 1
Tm1 0.0000 0.5000 0.0822 1
Pb1 0.0000 0.0000 0.3253 1
Pb2 0.0000 0.0000 0.5000 1
O1 0.0000 0.0000 0.0912 1
```

# 7
VASP calculation (GGA-PBE) on a geometry-optimized Nd4Tm2Pb3O2 structure.

Results
Uncorrected formation energy: -14.61 eV per formula unit

```
data_Nd4Tm2Pb3O2
_cell_length_a 4.8287
_cell_length_b 4.8287
_cell_length_c 25.5704
_cell_angle_alpha 90.00
_cell_angle_beta 90.00
_cell_angle_gamma 90.00
_space_group_name_H-M_alt 'I 4/m m m'
_space_group_IT_number 139
_space_group_name_Hall '-I 4 2'
loop_
_atom_site_label
_atom_site_fract_x
_atom_site_fract_y
_atom_site_fract_z
_atom_site_occupancy
Nd1 0.0000 0.5000 0.0851 1
Tm1 0.0000 0.0000 0.1934 1
Pb1 0.0000 0.0000 0.3173 1
Pb2 0.0000 0.0000 0.5000 1
O1 0.0000 0.0000 0.1079 1
```